A plane-wave DFT calculation with GGA-PBE was carried out for a relaxed structure of BaCaTl4O8.

a b c (Å): 7.028 7.028 6.988
angles (deg): 59.81 59.81 60.00
Fractional coordinates of all 14 atoms:
O (0.757, 0.757, 0.730)
O (0.233, 0.233, 0.723)
O (0.754, 0.754, 0.267)
O (0.233, 0.810, 0.723)
O (0.754, 0.225, 0.267)
O (0.225, 0.754, 0.267)
O (0.810, 0.233, 0.723)
O (0.235, 0.235, 0.296)
Tl (0.491, 0.003, 0.502)
Tl (0.003, 0.003, 0.502)
Tl (0.003, 0.491, 0.502)
Tl (0.620, 0.620, 0.141)
Ba (0.381, 0.381, 0.857)
Ca (0.001, 0.001, 0.998)

Summary:
Uncorrected energy: -5.045 eV per atom
Volume: 17.38 Å³/atom
Space group: R3m (160)